<i>
# Cs2Lu2O5

An optimized crystal structure of Cs2Lu2O5 (PBE, OQMD).

```
9
Lattice="7.324 0.000 0.000 0.000 4.639 0.000 0.000 0.000 4.639" Properties=species:S:1:pos:R:3 pbc="T T T"
Cs 1.445 2.319 2.319
Cs 5.879 2.319 2.319
Lu 0.000 0.000 0.000
Lu 3.662 0.000 0.000
O 1.835 2.319 0.000
O 5.489 2.319 0.000
O 1.835 0.000 2.319
O 5.489 0.000 2.319
O 3.662 2.319 2.319
```

Summary:
* crystal system: tetragonal
* space group: P4/mmm

<ii>
# Cs2Lu2O5

An optimized crystal structure of Cs2Lu2O5 (PBE, OQMD).

```
9
Lattice="-9.496 -1.108 -1.437 -0.237 -2.451 3.458 -0.761 3.432 2.380" Properties=species:S:1:pos:R:3 pbc="T T T"
Cs 0.000 0.000 0.000
Cs -4.748 -0.554 -0.718
Lu -3.214 0.174 2.508
Lu -7.280 -0.300 1.893
O -2.327 -1.483 1.395
O -7.407 -2.076 0.626
O -2.588 1.459 0.856
O -7.668 0.866 0.087
O -5.247 -0.063 2.201
```

Summary:
* crystal system: tetragonal
* space group: P4/mmm

Looking at the structures above, <ii> is most stable, and the difference to the next one is 192.2 kJ/mol of atoms.